(1)
Entry from the Alexandria database: a relaxed structure of La2Al (GGA-PBE).

Output
Total moment = 0.00 μB/cell
Crystal system = tetragonal
DFT formation energy = -0.05 eV/atom

Lattice parameters (Å, degrees): 5.3319 5.3319 3.6314 90.00 90.00 90.00
Space group P4/mmm (No. 123)
Symmetry-distinct sites (fractional):
La (0.0000, 0.5000, 0.0000) (multiplicity 2)
Al (0.0000, 0.0000, 0.5000) (multiplicity 1)

=====

(2)
Entry from the Alexandria database: a relaxed structure of Cd7Ag3Au (GGA-PBE).

Output
Total moment = 0.00 μB/cell
Crystal system = orthorhombic
DFT formation energy = 0.04 eV/atom

Lattice parameters (Å, degrees): 3.0213 38.9804 9.1766 90.00 90.00 90.00
Space group Cmcm (No. 63)
Symmetry-distinct sites (fractional):
Cd (0.0000, 0.0304, 0.2500) (multiplicity 4)
Cd (0.0000, 0.0353, 0.5860) (multiplicity 8)
Cd (0.0000, 0.1381, 0.5352) (multiplicity 8)
Cd (0.0000, 0.2219, 0.5648) (multiplicity 8)
Ag (0.0000, 0.3235, 0.2500) (multiplicity 4)
Ag (0.0000, 0.4153, 0.5962) (multiplicity 8)
Au (0.0000, 0.4087, 0.2500) (multiplicity 4)

=====

(3)
Entry from the Alexandria database: a relaxed structure of Ce3Pm4HfN8 (GGA-PBE).

Output
Total moment = 0.00 μB/cell
Crystal system = trigonal
Formation energy from raw total energies = -1517 meV per atom

Lattice parameters (Å, degrees): 7.0662 7.0662 17.3557 90.00 90.00 120.00
Space group R-3m (No. 166, hexagonal axes)
Symmetry-distinct sites (fractional):
Ce (0.0000, 0.5000, 0.0000) (multiplicity 9)
Pm (0.0000, 0.0000, 0.5000) (multiplicity 3)
Pm (0.0000, 0.5000, 0.5000) (multiplicity 9)
Hf (0.0000, 0.0000, 0.0000) (multiplicity 3)
N (0.0000, 0.0000, 0.2541) (multiplicity 6)
N (0.0172, 0.5086, 0.7419) (multiplicity 18)

=====

(4)
Entry from the Alexandria database: a relaxed structure of SrAuBr2 (GGA-PBE).

Output
Total moment = 0.00 μB/cell
Crystal system = tetragonal
Formation energy from raw total energies = -923 meV per atom

Lattice parameters (Å, degrees): 5.3476 5.3476 18.6611 90.00 90.00 90.00
Space group I-42d (No. 122)
Symmetry-distinct sites (fractional):
Sr (0.0000, 0.0000, 0.0000) (multiplicity 4)
Au (0.0000, 0.0000, 0.5000) (multiplicity 4)
Br (0.2293, 0.2500, 0.6250) (multiplicity 8)

=====

(5)
Entry from the Alexandria database: a relaxed structure of Pr4IrAuCl2 (GGA-PBE).

Output
Total moment = 0.00 μB/cell
Crystal system = monoclinic
Formation energy from raw total energies = -1130 meV per atom

Lattice parameters (Å, degrees): 7.4140 4.2144 7.9034 90.00 108.67 90.00
Space group P2/m (No. 10)
Symmetry-distinct sites (fractional):
Pr (0.2309, 0.0000, 0.2102) (multiplicity 2)
Pr (0.2379, 0.5000, 0.7844) (multiplicity 2)
Ir (0.0000, 0.5000, 0.0000) (multiplicity 1)
Au (0.5000, 0.0000, 0.0000) (multiplicity 1)
Cl (0.0000, 0.0000, 0.5000) (multiplicity 1)
Cl (0.5000, 0.5000, 0.5000) (multiplicity 1)

=====

(6)
Entry from the Alexandria database: a relaxed structure of KGeSe4 (GGA-PBE).

Output
Total moment = 0.00 μB/cell
Crystal system = monoclinic
Formation energy from raw total energies = -372 meV per atom

Lattice parameters (Å, degrees): 10.7578 14.3143 6.6498 90.00 124.20 90.00
Space group C2/c (No. 15)
Symmetry-distinct sites (fractional):
K (0.0000, 0.1092, 0.2500) (multiplicity 4)
Ge (0.0000, 0.2422, 0.7500) (multiplicity 4)
Se (0.0797, 0.3292, 0.1126) (multiplicity 8)
Se (0.1720, 0.1161, 0.8416) (multiplicity 8)

=====

Number 1 is which compound?
La2Al